A relaxed VAs2SeF crystal, computed with PBE with a Hubbard U.

Computed properties:
volume = 96.8 Å³ per cell
distance to the lowest polymorph of the same formula = 0 meV/atom
size of the total moment = 1.890 μB per cell

a = 4.999 Å, b = 3.874 Å, c = 4.999 Å
α = 90.00°, β = 90.00°, γ = 90.00°
Positions (direct):
As (0.000, 0.000, 0.500)
As (0.500, 0.000, 0.000)
F (0.000, 0.500, 0.000)
Se (0.500, 0.500, 0.500)
V (0.000, 0.000, 0.000)